# RbGaBr2

Crystalline RbGaBr2 at its relaxed geometry (PBE, the Alexandria database).

Structure (POSCAR):
```
RbGaBr2
1.0
2.830 0.000 9.417
-1.415 2.451 9.417
-1.415 -2.451 9.417
Ga Br Rb
1 2 1
Direct
0.500 0.500 0.500
0.890 0.890 0.890
0.110 0.110 0.110
0.000 0.000 0.000
```

E above lowest polymorph	271.3	meV/atom
volume	48.98	Å³/atom
total magnetic moment	0.0	μB/f.u.